Record 1
A plane-wave DFT calculation with PBE-GGA was carried out for an optimized crystal structure of K2BeCdAs2.

Lattice parameters (Å, degrees): 9.006 9.006 9.006 139.61 57.97 140.23
Positions (direct):
K 0.174 0.233 0.407
K 0.326 0.733 0.059
K 0.674 0.267 0.941
K 0.826 0.767 0.593
Be 0.250 0.750 0.500
Be 0.750 0.250 0.500
Cd 0.250 0.250 0.000
Cd 0.750 0.750 0.000
As 0.091 0.704 0.795
As 0.409 0.204 0.612
As 0.591 0.796 0.388
As 0.909 0.296 0.205

space group: Ibam, No. 72
energy of formation from the pure elements: -0.350 eV/atom

Record 2
A plane-wave DFT calculation with PBE-GGA was carried out for an optimized crystal structure of GeTe2I.

Lattice parameters (Å, degrees): 9.429 9.429 9.429 25.98 25.98 25.98
Positions (direct):
Ge 0.000 0.000 0.000
Te 0.392 0.392 0.392
Te 0.608 0.608 0.608
I 0.500 0.500 0.500

space group: R-3m, No. 166
uncorrected formation energy: 81 meV per atom
E above lowest polymorph: 0.0 meV/atom

Record 3
A plane-wave DFT calculation with PBE-GGA was carried out for an optimized crystal structure of Be2FeSb.

Lattice parameters (Å, degrees): 3.160 3.160 5.097 90.00 90.00 90.00
Positions (direct):
Be 0.000 0.000 0.000
Be 0.500 0.500 0.187
Fe 0.000 0.000 0.419
Sb 0.500 0.500 0.688

space group: P4mm, No. 99
uncorrected formation energy: 305 meV per atom

Record 4
A plane-wave DFT calculation with PBE-GGA was carried out for an optimized crystal structure of Ho5Mg2In.

Lattice parameters (Å, degrees): 8.778 8.778 8.778 122.96 122.96 84.95
Positions (direct):
Ho 0.000 0.000 0.000
Ho 0.005 0.505 0.193
Ho 0.188 0.995 0.500
Ho 0.312 0.812 0.807
Ho 0.495 0.688 0.500
Ho 0.500 0.500 0.000
Ho 0.505 0.312 0.500
Ho 0.688 0.188 0.193
Ho 0.812 0.005 0.500
Ho 0.995 0.495 0.807
Mg 0.138 0.362 0.500
Mg 0.362 0.862 0.223
Mg 0.638 0.138 0.777
Mg 0.862 0.638 0.500
In 0.250 0.250 0.000
In 0.750 0.750 0.000

space group: I4/mcm, No. 140
energy of formation from the pure elements: -0.062 eV/atom

Record 5
A plane-wave DFT calculation with PBE-GGA was carried out for an optimized crystal structure of La6PrEr12.

Lattice parameters (Å, degrees): 8.783 8.783 8.783 98.69 98.69 98.69
Positions (direct):
La 0.152 0.598 0.598
La 0.402 0.402 0.848
La 0.402 0.848 0.402
La 0.598 0.152 0.598
La 0.598 0.598 0.152
La 0.848 0.402 0.402
Pr 0.500 0.500 0.500
Er 0.000 0.254 0.746
Er 0.000 0.746 0.254
Er 0.145 0.145 0.420
Er 0.145 0.420 0.145
Er 0.254 0.000 0.746
Er 0.254 0.746 0.000
Er 0.420 0.145 0.145
Er 0.580 0.855 0.855
Er 0.746 0.000 0.254
Er 0.746 0.254 0.000
Er 0.855 0.580 0.855
Er 0.855 0.855 0.580

space group: R-3m, No. 166
energy of formation from the pure elements: 0.219 eV/atom

Record 6
A plane-wave DFT calculation with PBE-GGA was carried out for an optimized crystal structure of Sr2CeP2N6.

Lattice parameters (Å, degrees): 6.898 6.898 6.898 49.29 49.29 49.29
Positions (direct):
Sr 0.207 0.207 0.207
Sr 0.793 0.793 0.793
Ce 0.000 0.000 0.000
P 0.418 0.418 0.418
P 0.582 0.582 0.582
N 0.261 0.261 0.737
N 0.261 0.737 0.261
N 0.263 0.739 0.739
N 0.737 0.261 0.261
N 0.739 0.263 0.739
N 0.739 0.739 0.263

space group: R-3m, No. 166
uncorrected formation energy: -915 meV per atom